Compound: Pr8CdPt2
Source: the Alexandria database
Functional: GGA-PBE
Structure: optimized geometry

Summary:
Density of states at the Fermi level ... 1.25 states/eV/atom
M_tot ... 0.000 μB per cell
Energy above the lowest structure with this stoichiometry ... 0.006 eV per atom
Uncorrected energy ... -5.0393 eV/atom

The structure in POSCAR format:
```
Pr8CdPt2
1.0
-2.4459 4.4681 2.7807
-6.7814 -2.7781 -3.9482
2.2912 -4.4204 6.6712
Pt Pr Cd
2 8 1
Direct
0.5001 0.3024 0.7037 Pt
0.5001 0.7037 0.3024 Pt
0.8087 0.6100 0.6100 Pr
0.0000 0.7572 0.2488 Pr
0.0000 0.2488 0.7572 Pr
0.1916 0.3964 0.3964 Pr
0.5710 0.3332 0.0854 Pr
0.4290 0.6728 0.9206 Pr
0.4290 0.9206 0.6728 Pr
0.5710 0.0854 0.3332 Pr
0.9991 0.0034 0.0034 Cd
```

---

Compound: CsK2InPb
Source: the Alexandria database
Functional: GGA-PBE
Structure: optimized geometry

Summary:
Density of states at the Fermi level ... 0.62 states/eV/atom
M_tot ... 0.322 μB per cell
Energy above the lowest structure with this stoichiometry ... 0.006 eV per atom
Uncorrected energy ... -1.8927 eV/atom

The structure in POSCAR format:
```
CsK2InPb
1.0
-3.6538 -4.3976 3.7818
4.4523 0.7380 5.1598
-3.2168 4.5055 2.1313
Cs K Pb In
1 2 1 1
Direct
0.5000 0.5000 0.5000 Cs
0.5000 0.0000 0.0000 K
0.0000 0.5000 0.0000 K
0.0000 0.0000 0.5000 Pb
0.0000 0.0000 0.0000 In
```

---

Compound: SrCaCl3
Source: the Alexandria database
Functional: GGA-PBE
Structure: optimized geometry

Summary:
Density of states at the Fermi level ... 0.44 states/eV/atom
M_tot ... 0.631 μB per cell
Energy above the lowest structure with this stoichiometry ... 0.135 eV per atom
Uncorrected energy ... -3.5790 eV/atom

The structure in POSCAR format:
```
SrCaCl3
1.0
-2.7853 -3.7520 3.1855
-0.2845 -3.5314 -4.4081
4.9137 -2.3313 1.5505
Cl Ca Sr
3 1 1
Direct
0.0000 0.5000 0.0000 Cl
0.0000 0.0000 0.5000 Cl
0.5000 0.0000 0.0000 Cl
0.5000 0.5000 0.5000 Ca
0.0000 0.0000 0.0000 Sr
```

---

What is the M_tot in the second record?
0.322 μB per cell

---

Repeat the third record exactly.
Compound: SrCaCl3
Source: the Alexandria database
Functional: GGA-PBE
Structure: optimized geometry

Summary:
Density of states at the Fermi level ... 0.44 states/eV/atom
M_tot ... 0.631 μB per cell
Energy above the lowest structure with this stoichiometry ... 0.135 eV per atom
Uncorrected energy ... -3.5790 eV/atom

The structure in POSCAR format:
```
SrCaCl3
1.0
-2.7853 -3.7520 3.1855
-0.2845 -3.5314 -4.4081
4.9137 -2.3313 1.5505
Cl Ca Sr
3 1 1
Direct
0.0000 0.5000 0.0000 Cl
0.0000 0.0000 0.5000 Cl
0.5000 0.0000 0.0000 Cl
0.5000 0.5000 0.5000 Ca
0.0000 0.0000 0.0000 Sr
```

---

What is the density of states at the Fermi level in the third record?
0.44 states/eV/atom